First-principles (SCAN) data for a crystal of Mn6PtRh relaxed with PBEsol, as listed in the Alexandria database.

a = 3.6299 Å, b = 3.6299 Å, c = 7.2604 Å
α = 90.00°, β = 90.00°, γ = 90.00°
Fractional coordinates of all 8 atoms:
Mn 0.0000 0.0000 0.0000
Mn 0.0000 0.0000 0.5000
Mn 0.0000 0.5000 0.2470
Mn 0.0000 0.5000 0.7530
Mn 0.5000 0.0000 0.2470
Mn 0.5000 0.0000 0.7530
Pt 0.5000 0.5000 0.5000
Rh 0.5000 0.5000 0.0000

Calculated values
- DFT total energy: -27.154 eV per atom
- SG: P4/mmm (123)
- Total magnetization: 6.394 μB per cell
- Formation energy from the elements: -0.467 eV per atom
- D(E_F): 4.6 states/eV/cell

First-principles (SCAN) data for a crystal of SrIrAu2 relaxed with PBEsol, as listed in the Alexandria database.

a = 3.6509 Å, b = 4.6084 Å, c = 5.2606 Å
α = 90.00°, β = 90.07°, γ = 90.00°
Fractional coordinates of all 4 atoms:
Sr 0.0000 0.0000 0.0000
Ir 0.5000 0.0000 0.5000
Au 0.4995 0.5000 0.7496
Au 0.5005 0.5000 0.2504

Calculated values
- DFT total energy: -58.019 eV per atom
- SG: P2/m (10)
- Total magnetization: 0.000 μB per cell
- Formation energy from the elements: -0.097 eV per atom
- E above lowest polymorph: 0 meV/atom
- D(E_F): 2.2 states/eV/cell

First-principles (SCAN) data for a crystal of InSiSbO2 relaxed with PBEsol, as listed in the Alexandria database.

a = 3.7856 Å, b = 3.7856 Å, c = 5.3533 Å
α = 90.00°, β = 90.00°, γ = 90.00°
Fractional coordinates of all 5 atoms:
In 0.0000 0.0000 0.0000
Si 0.5000 0.5000 0.5000
Sb 0.5000 0.5000 0.0000
O 0.0000 0.5000 0.5000
O 0.5000 0.0000 0.5000

Calculated values
- DFT total energy: -19.307 eV per atom
- SG: P4/mmm (123)
- Total magnetization: 0.000 μB per cell
- D(E_F): 1.4 states/eV/cell

First-principles (SCAN) data for a crystal of LiMg relaxed with PBEsol, as listed in the Alexandria database.

a = 9.7680 Å, b = 8.4120 Å, c = 5.8632 Å
α = 90.00°, β = 90.00°, γ = 90.00°
Fractional coordinates of all 24 atoms:
Li 0.1130 0.0683 0.2500
Li 0.1130 0.4317 0.7500
Li 0.3697 0.5975 0.2500
Li 0.3697 0.9025 0.7500
Li 0.3816 0.2500 0.0000
Li 0.3816 0.2500 0.5000
Li 0.6184 0.7500 0.0000
Li 0.6184 0.7500 0.5000
Li 0.6303 0.0975 0.2500
Li 0.6303 0.4025 0.7500
Li 0.8870 0.5683 0.2500
Li 0.8870 0.9317 0.7500
Mg 0.1248 0.7500 0.0000
Mg 0.1248 0.7500 0.5000
Mg 0.1395 0.0993 0.7500
Mg 0.1395 0.4007 0.2500
Mg 0.3794 0.5674 0.7500
Mg 0.3794 0.9326 0.2500
Mg 0.6206 0.0674 0.7500
Mg 0.6206 0.4326 0.2500
Mg 0.8605 0.5993 0.7500
Mg 0.8605 0.9007 0.2500
Mg 0.8752 0.2500 0.0000
Mg 0.8752 0.2500 0.5000

Calculated values
- DFT total energy: -3.705 eV per atom
- SG: Pbcm (57)
- Total magnetization: 0.718 μB per cell
- Formation energy from the elements: -0.024 eV per atom
- D(E_F): 8.6 states/eV/cell

First-principles (SCAN) data for a crystal of Y2TePt relaxed with PBEsol, as listed in the Alexandria database.

a = 7.5705 Å, b = 7.5705 Å, c = 7.5705 Å
α = 31.33°, β = 31.33°, γ = 31.33°
Fractional coordinates of all 4 atoms:
Y 0.2378 0.2378 0.2378
Y 0.7622 0.7622 0.7622
Te 0.0000 0.0000 0.0000
Pt 0.5000 0.5000 0.5000

Calculated values
- DFT total energy: -42.273 eV per atom
- SG: R-3m (166)
- Total magnetization: 0.000 μB per cell
- D(E_F): 2.1 states/eV/cell

First-principles (SCAN) data for a crystal of SrCuTe2N relaxed with PBEsol, as listed in the Alexandria database.

a = 5.6017 Å, b = 5.6017 Å, c = 3.6311 Å
α = 90.00°, β = 90.00°, γ = 90.00°
Fractional coordinates of all 5 atoms:
Sr 0.0000 0.0000 0.0000
Cu 0.5000 0.5000 0.5000
Te 0.0000 0.5000 0.5000
Te 0.5000 0.0000 0.5000
N 0.5000 0.5000 0.0000

Calculated values
- DFT total energy: -24.317 eV per atom
- SG: P4/mmm (123)
- Total magnetization: 1.712 μB per cell
- D(E_F): 2.4 states/eV/cell

The highest D(E_F) belongs to which entry?
LiMg

Please write out number 2 again, unchanged.
First-principles (SCAN) data for a crystal of SrIrAu2 relaxed with PBEsol, as listed in the Alexandria database.

a = 3.6509 Å, b = 4.6084 Å, c = 5.2606 Å
α = 90.00°, β = 90.07°, γ = 90.00°
Fractional coordinates of all 4 atoms:
Sr 0.0000 0.0000 0.0000
Ir 0.5000 0.0000 0.5000
Au 0.4995 0.5000 0.7496
Au 0.5005 0.5000 0.2504

Calculated values
- DFT total energy: -58.019 eV per atom
- SG: P2/m (10)
- Total magnetization: 0.000 μB per cell
- Formation energy from the elements: -0.097 eV per atom
- E above lowest polymorph: 0 meV/atom
- D(E_F): 2.2 states/eV/cell

The lowest D(E_F) belongs to which entry?
InSiSbO2